Compound: NaAc2Nd3Te6
Source: the Alexandria database
Functional: PBE-GGA
Structure: relaxed

- formation energy from raw total energies (kJ per mole of atoms) = -137.6
- DOS at the Fermi energy (states/eV/cell) = 9.4

The structure in CIF format:
```
data_NaAc2Nd3Te6
_space_group_name_H-M_alt 'C 1 2/m 1'
_space_group_IT_number 12
_cell_length_a 20.121
_cell_length_b 4.569
_cell_length_c 9.258
_cell_angle_alpha 90.00
_cell_angle_beta 104.38
_cell_angle_gamma 90.00
loop_
_space_group_symop_operation_xyz
'x,y,z'
'-x,-y,-z'
'-x,y,-z'
'x,-y,z'
'x+1/2,y+1/2,z'
'-x+1/2,-y+1/2,-z'
'-x+1/2,y+1/2,-z'
'x+1/2,-y+1/2,z'
loop_
_atom_site_label
_atom_site_fract_x
_atom_site_fract_y
_atom_site_fract_z
Na1 0.000 0.000 0.000
Ac1 0.166 0.500 0.332
Nd1 0.000 0.000 0.500
Nd2 0.167 0.500 0.826
Te1 0.003 0.500 0.750
Te2 0.163 0.000 0.588
Te3 0.166 0.000 0.069
```